1.
Compound: InAgHg2H
Source: Alexandria via LeMat-Bulk
Functional: PBE
Structure: optimized geometry

Properties
electronic total energy = -1.717 eV per atom
calculated volume = 105 Å³/cell

CIF file:
```
data_InAgHg2H
_cell_length_a 5.5007
_cell_length_b 5.5007
_cell_length_c 3.4864
_cell_angle_alpha 90.00
_cell_angle_beta 90.00
_cell_angle_gamma 90.00
_space_group_name_H-M_alt 'P 4/m m m'
_space_group_IT_number 123
_space_group_name_Hall '-P 4 2'
loop_
_atom_site_label
_atom_site_type_symbol
_atom_site_fract_x
_atom_site_fract_y
_atom_site_fract_z
In1 In 0.0000 0.0000 0.0000
Ag1 Ag 0.5000 0.5000 0.0000
Hg1 Hg 0.0000 0.5000 0.5000
H1 H 0.5000 0.5000 0.5000
```


2.
Compound: HoEr2Sb3
Source: Alexandria via LeMat-Bulk
Functional: PBE
Structure: optimized geometry

Properties
electronic total energy = -5.446 eV per atom
formation energy without anion corrections = -1.101 eV per atom
calculated volume = 351 Å³/cell

CIF file:
```
data_HoEr2Sb3
_cell_length_a 4.3567
_cell_length_b 6.1582
_cell_length_c 13.0753
_cell_angle_alpha 90.00
_cell_angle_beta 90.00
_cell_angle_gamma 90.00
_space_group_name_H-M_alt 'I m m m'
_space_group_IT_number 71
_space_group_name_Hall '-I 2 2'
loop_
_atom_site_label
_atom_site_type_symbol
_atom_site_fract_x
_atom_site_fract_y
_atom_site_fract_z
Ho1 Ho 0.0000 0.0000 0.0000
Er1 Er 0.0000 0.0000 0.3335
Sb1 Sb 0.0000 0.5000 0.0000
Sb2 Sb 0.0000 0.5000 0.3327
```


3.
Compound: Nb2BiBr
Source: Alexandria via LeMat-Bulk
Functional: PBE
Structure: optimized geometry

Properties
electronic total energy = -5.737 eV per atom
formation energy without anion corrections = 0.687 eV per atom
calculated volume = 395 Å³/cell
E above lowest polymorph = 21.4 kJ/mol of atoms

CIF file:
```
data_Nb2BiBr
_cell_length_a 4.7415
_cell_length_b 4.7415
_cell_length_c 17.5684
_cell_angle_alpha 90.00
_cell_angle_beta 90.00
_cell_angle_gamma 90.00
_space_group_name_H-M_alt 'I -4 2 d'
_space_group_IT_number 122
_space_group_name_Hall 'I -4 2bw'
loop_
_atom_site_label
_atom_site_type_symbol
_atom_site_fract_x
_atom_site_fract_y
_atom_site_fract_z
Nb1 Nb 0.1761 0.2500 0.1250
Bi1 Bi 0.0000 0.0000 0.5000
Br1 Br 0.0000 0.0000 0.0000
```


4.
Compound: NaCuSiBi2
Source: Alexandria via LeMat-Bulk
Functional: PBE
Structure: optimized geometry

Properties
electronic total energy = -3.447 eV per atom
formation energy without anion corrections = 0.273 eV per atom
calculated volume = 136 Å³/cell

CIF file:
```
data_NaCuSiBi2
_cell_length_a 5.5846
_cell_length_b 5.5846
_cell_length_c 4.3564
_cell_angle_alpha 90.00
_cell_angle_beta 90.00
_cell_angle_gamma 90.00
_space_group_name_H-M_alt 'P 4/m m m'
_space_group_IT_number 123
_space_group_name_Hall '-P 4 2'
loop_
_atom_site_label
_atom_site_type_symbol
_atom_site_fract_x
_atom_site_fract_y
_atom_site_fract_z
Na1 Na 0.0000 0.0000 0.0000
Cu1 Cu 0.5000 0.5000 0.5000
Si1 Si 0.5000 0.5000 0.0000
Bi1 Bi 0.0000 0.5000 0.5000
```